Crystalline CsYGa3 at its relaxed geometry. Source: Alexandria via LeMat-Bulk, functional GGA-PBE.

Values from the calculation:
DOS(E_F): 6.5 states/eV/cell
E_form: 0.295 eV per atom

Cell lengths 5.7805, 5.7805, 5.7805 Å; angles 90.00, 90.00, 90.00 degrees
Space group Pm-3m (No. 221)
Inequivalent atoms, fractional coordinates:
Cs  0.0000  0.0000  0.0000
Y  0.5000  0.5000  0.5000
Ga  0.0000  0.5000  0.5000

Crystalline TcNiSe2 at its relaxed geometry. Source: Alexandria via LeMat-Bulk, functional GGA-PBE.

Values from the calculation:
DOS(E_F): 8.5 states/eV/cell
energy relative to the elements, uncorrected: 35 meV/atom

Cell lengths 3.1735, 3.1735, 21.3435 Å; angles 90.00, 90.00, 120.00 degrees
Space group R-3m (No. 166, hexagonal axes)
Inequivalent atoms, fractional coordinates:
Tc  0.0000  0.0000  0.0000
Ni  0.0000  0.0000  0.5000
Se  0.0000  0.0000  0.2472

Crystalline MnSb2Pd9 at its relaxed geometry. Source: Alexandria via LeMat-Bulk, functional GGA-PBE.

Values from the calculation:
DOS(E_F): 5.0 states/eV/cell
energy relative to the elements, uncorrected: -345 meV/atom

Cell lengths 4.0149, 4.0149, 12.0177 Å; angles 90.00, 90.00, 90.00 degrees
Space group P4/mmm (No. 123)
Inequivalent atoms, fractional coordinates:
Mn  0.0000  0.0000  0.0000
Sb  0.0000  0.0000  0.3234
Pd  0.0000  0.5000  0.1617
Pd  0.0000  0.5000  0.5000
Pd  0.5000  0.5000  0.0000
Pd  0.5000  0.5000  0.3341

Crystalline CePa2CoN4 at its relaxed geometry. Source: Alexandria via LeMat-Bulk, functional GGA-PBE.

Values from the calculation:
DOS(E_F): 22.1 states/eV/cell
energy relative to the elements, uncorrected: -1362 meV/atom

Cell lengths 3.4656, 11.4409, 11.3846 Å; angles 90.00, 90.00, 90.00 degrees
Space group Cmcm (No. 63)
Inequivalent atoms, fractional coordinates:
Ce  0.0000  0.1075  0.2500
Pa  0.0000  0.3678  0.0615
Co  0.0000  0.1597  0.7500
N  0.0000  0.0000  0.0000
N  0.0000  0.2720  0.6163
N  0.0000  0.4495  0.2500

Crystalline Tl3In4Hg4 at its relaxed geometry. Source: Alexandria via LeMat-Bulk, functional GGA-PBE.

Values from the calculation:
DOS(E_F): 5.0 states/eV/cell
E_form: 0.006 eV per atom

Cell lengths 3.3846, 5.5358, 16.7499 Å; angles 98.85, 95.40, 92.83 degrees
Space group P-1 (No. 2)
Inequivalent atoms, fractional coordinates:
Tl  0.0000  0.0000  0.0000
Tl  0.1413  0.6365  0.2763
In  0.2728  0.2697  0.5388
In  0.4037  0.9091  0.8167
Hg  0.3142  0.8174  0.6325
Hg  0.4598  0.4545  0.9071

Crystalline Cs2CaVI6 at its relaxed geometry. Source: Alexandria via LeMat-Bulk, functional GGA-PBE.

Values from the calculation:
energy relative to the elements, uncorrected: -1227 meV/atom

Cell lengths 8.4643, 8.4643, 42.5630 Å; angles 90.00, 90.00, 120.00 degrees
Space group R-3m (No. 166, hexagonal axes)
Inequivalent atoms, fractional coordinates:
Cs  0.0000  0.0000  0.1237
Cs  0.0000  0.0000  0.2958
Ca  0.0000  0.0000  0.4147
V  0.0000  0.0000  0.0000
V  0.0000  0.0000  0.5000
I  0.0109  0.5054  0.1282
I  0.0156  0.5078  0.7060

Crystalline SnHOs2 at its relaxed geometry. Source: Alexandria via LeMat-Bulk, functional GGA-PBE.

Values from the calculation:
E_tot: -55.56 eV per cell
DOS(E_F): 4.9 states/eV/cell

Cell lengths 4.9108, 5.4245, 5.5263 Å; angles 60.98, 63.76, 64.92 degrees
Space group P1 (No. 1)
Inequivalent atoms, fractional coordinates:
Sn  0.0000  0.0000  0.0000
Sn  0.1888  0.2980  0.3213
H  0.4897  0.9866  0.0393
H  0.7031  0.8770  0.5021
Os  0.1066  0.7327  0.5626
Os  0.5406  0.1580  0.6580
Os  0.5852  0.5490  0.7630
Os  0.6630  0.6190  0.1601

Crystalline Tb2HoSi6 at its relaxed geometry. Source: Alexandria via LeMat-Bulk, functional GGA-PBE.

Values from the calculation:
DOS(E_F): 5.6 states/eV/cell
energy relative to the elements, uncorrected: -533 meV/atom

Cell lengths 7.0932, 7.0932, 3.9509 Å; angles 90.00, 90.00, 120.00 degrees
Space group P6/mmm (No. 191)
Inequivalent atoms, fractional coordinates:
Tb  0.3333  0.6667  0.0000
Ho  0.0000  0.0000  0.0000
Si  0.0000  0.3327  0.5000

Crystalline Pr2ErIn2Rh5 at its relaxed geometry. Source: Alexandria via LeMat-Bulk, functional GGA-PBE.

Values from the calculation:
DOS(E_F): 10.9 states/eV/cell
E_form: -0.516 eV per atom

Cell lengths 10.5202, 10.5202, 3.7215 Å; angles 90.00, 90.00, 90.00 degrees
Space group P4/mbm (No. 127)
Inequivalent atoms, fractional coordinates:
Pr  0.1709  0.3291  0.0000
Er  0.0000  0.0000  0.0000
In  0.1270  0.6270  0.0000
Rh  0.0000  0.5000  0.5000
Rh  0.0624  0.7984  0.5000

Crystalline CePm2Mg6 at its relaxed geometry. Source: Alexandria via LeMat-Bulk, functional GGA-PBE.

Values from the calculation:
DOS(E_F): 11.2 states/eV/cell
E_form: -0.064 eV per atom

Cell lengths 9.1864, 9.1864, 3.2772 Å; angles 90.00, 90.00, 120.00 degrees
Space group P6/mmm (No. 191)
Inequivalent atoms, fractional coordinates:
Ce  0.0000  0.0000  0.0000
Pm  0.3333  0.6667  0.0000
Mg  0.0000  0.3332  0.5000

Crystalline CsPF6 at its relaxed geometry. Source: Alexandria via LeMat-Bulk, functional GGA-PBE.

Values from the calculation:
DOS(E_F): 0.0 states/eV/cell
energy relative to the elements, uncorrected: -2801 meV/atom

Cell lengths 5.7093, 5.7093, 15.1172 Å; angles 90.00, 90.00, 120.00 degrees
Space group R-3m (No. 166, hexagonal axes)
Inequivalent atoms, fractional coordinates:
Cs  0.0000  0.0000  0.0000
P  0.0000  0.0000  0.5000
F  0.0622  0.5311  0.1041

Crystalline GeAs2SeO at its relaxed geometry. Source: Alexandria via LeMat-Bulk, functional GGA-PBE.

Values from the calculation:
DOS(E_F): 7.6 states/eV/cell
energy relative to the elements, uncorrected: 1202 meV/atom

Cell lengths 4.9431, 4.9431, 4.8284 Å; angles 90.00, 90.00, 90.00 degrees
Space group P4/mmm (No. 123)
Inequivalent atoms, fractional coordinates:
Ge  0.0000  0.0000  0.0000
As  0.0000  0.5000  0.0000
Se  0.0000  0.0000  0.5000
O  0.5000  0.5000  0.5000

Crystalline Na2LiGaH at its relaxed geometry. Source: Alexandria via LeMat-Bulk, functional GGA-PBE.

Values from the calculation:
E_tot: -11.02 eV per cell
DOS(E_F): 2.1 states/eV/cell

Cell lengths 4.7327, 4.7327, 4.1647 Å; angles 90.00, 90.00, 90.00 degrees
Space group P4/mmm (No. 123)
Inequivalent atoms, fractional coordinates:
Na  0.0000  0.5000  0.0000
Li  0.0000  0.0000  0.5000
Ga  0.5000  0.5000  0.5000
H  0.0000  0.0000  0.0000

Crystalline Mn2AsCl at its relaxed geometry. Source: Alexandria via LeMat-Bulk, functional GGA-PBE.

Values from the calculation:
DOS(E_F): 2.1 states/eV/cell
energy relative to the elements, uncorrected: -69 meV/atom

Cell lengths 3.3045, 4.1088, 5.3141 Å; angles 90.55, 96.22, 91.18 degrees
Space group P-1 (No. 2)
Inequivalent atoms, fractional coordinates:
Mn  0.0000  0.0000  0.0000
Mn  0.5000  0.5000  0.5000
As  0.0000  0.0000  0.5000
Cl  0.5000  0.5000  0.0000

Crystalline ZrInAg2 at its relaxed geometry. Source: Alexandria via LeMat-Bulk, functional GGA-PBE.

Values from the calculation:
DOS(E_F): 10.1 states/eV/cell
E_form: 0.042 eV per atom

Cell lengths 3.0770, 3.0770, 30.3328 Å; angles 90.00, 90.00, 120.00 degrees
Space group R3m (No. 160, hexagonal axes)
Inequivalent atoms, fractional coordinates:
Zr  0.0000  0.0000  0.0000
In  0.0000  0.0000  0.8332
Ag  0.0000  0.0000  0.2508
Ag  0.0000  0.0000  0.4159

Crystalline TlIr2Os at its relaxed geometry. Source: Alexandria via LeMat-Bulk, functional GGA-PBE.

Values from the calculation:
DOS(E_F): 4.3 states/eV/cell
E_form: 0.534 eV per atom

Cell lengths 2.8589, 2.8589, 8.0017 Å; angles 90.00, 90.00, 90.00 degrees
Space group P4mm (No. 99)
Inequivalent atoms, fractional coordinates:
Tl  0.0000  0.0000  0.0000
Ir  0.0000  0.0000  0.5061
Ir  0.5000  0.5000  0.2700
Os  0.5000  0.5000  0.7224

Crystalline LaCoAs2Se at its relaxed geometry. Source: Alexandria via LeMat-Bulk, functional GGA-PBE.

Values from the calculation:
DOS(E_F): 4.8 states/eV/cell
energy relative to the elements, uncorrected: -570 meV/atom

Cell lengths 4.5275, 4.5275, 5.2212 Å; angles 90.00, 90.00, 90.00 degrees
Space group P4/mmm (No. 123)
Inequivalent atoms, fractional coordinates:
La  0.0000  0.0000  0.0000
Co  0.5000  0.5000  0.5000
As  0.0000  0.5000  0.5000
Se  0.5000  0.5000  0.0000

Crystalline CeNdIN2 at its relaxed geometry. Source: Alexandria via LeMat-Bulk, functional GGA-PBE.

Values from the calculation:
energy relative to the elements, uncorrected: -1508 meV/atom

Cell lengths 7.4108, 4.2470, 8.1794 Å; angles 90.00, 106.02, 90.00 degrees
Space group P2_1/m (No. 11)
Inequivalent atoms, fractional coordinates:
Ce  0.1360  0.2500  0.4053
Nd  0.1499  0.2500  0.9158
I  0.4619  0.7500  0.2375
N  0.0029  0.7500  0.8637
N  0.0158  0.7500  0.3893

Crystalline CaRe5 at its relaxed geometry. Source: Alexandria via LeMat-Bulk, functional GGA-PBE.

Values from the calculation:
DOS(E_F): 11.2 states/eV/cell
E_form: 0.437 eV per atom

Cell lengths 10.5320, 2.8144, 7.0167 Å; angles 90.00, 106.99, 90.00 degrees
Space group Cm (No. 8)
Inequivalent atoms, fractional coordinates:
Ca  0.0000  0.0000  0.0000
Re  0.0182  0.0000  0.5755
Re  0.1421  0.5000  0.3574
Re  0.2235  0.5000  0.9068
Re  0.3012  0.0000  0.6347
Re  0.3323  0.0000  0.2593

Crystalline LiGa2HAu at its relaxed geometry. Source: Alexandria via LeMat-Bulk, functional GGA-PBE.

Values from the calculation:
E_tot: -15.21 eV per cell
DOS(E_F): 2.3 states/eV/cell

Cell lengths 4.2892, 4.2892, 3.8212 Å; angles 90.00, 90.00, 90.00 degrees
Space group P4/mmm (No. 123)
Inequivalent atoms, fractional coordinates:
Li  0.0000  0.0000  0.0000
Ga  0.0000  0.5000  0.5000
H  0.0000  0.0000  0.5000
Au  0.5000  0.5000  0.0000

no.,M_tot (μB per formula unit)
1,2.3
2,0.0
3,4.8
4,0.3
5,0.0
6,3.0
7,0.0
8,0.0
9,0.0
10,1.3
11,0.0
12,0.0
13,0.0
14,8.8
15,0.0
16,0.0
17,0.1
18,0.0
19,0.0
20,0.0